First-principles (GGA-PBE) data for a geometry-optimized KAl2Sb structure, as listed in the Alexandria database.

```
KAl2Sb
1.0
-3.236 4.467 -4.676
-3.046 1.074 3.222
4.334 1.338 0.477
Sb K Al
1 1 2
Cartesian
-0.777 1.962 1.839 Sb
-3.175 2.933 -0.830 K
-1.252 5.217 -2.986 Al
-1.833 6.414 -0.704 Al
```

formation energy without anion corrections	-24	meV per atom
final energy	-3.200	eV/atom